1.
Below is Zn2SiS at its PBEsol-relaxed geometry, with properties calculated at the meta-GGA SCAN level.

Unit cell a=5.719 b=6.353 c=5.719 alpha=63.25 beta=90.00 gamma=116.75
Fractional positions:
Si 0.500 0.000 0.500
Si 0.250 0.500 0.250
Zn 0.111 0.750 0.875
Zn 0.875 0.250 0.639
Zn 0.639 0.750 0.375
Zn 0.375 0.250 0.111
S 0.000 0.000 0.000
S 0.750 0.500 0.750

Values from the calculation:
Total DFT energy (no corrections) (eV per atom): -11.67
Symmetry: No. 122
Fermi-level density of states (states/eV/cell): 1.58

2.
Below is Sm2S3 at its PBEsol-relaxed geometry, with properties calculated at the meta-GGA SCAN level.

Unit cell a=8.348 b=8.348 c=13.826 alpha=107.57 beta=107.57 gamma=90.00
Fractional positions:
S 0.756 0.357 0.366
S 0.966 0.721 0.292
S 0.428 0.034 0.708
S 0.154 0.405 0.468
S 0.643 0.391 0.634
S 0.935 0.345 0.032
S 0.314 0.065 0.968
S 0.259 0.359 0.866
S 0.655 0.904 0.968
S 0.284 0.178 0.208
S 0.595 0.685 0.532
S 0.971 0.716 0.792
S 0.326 0.572 0.292
S 0.936 0.846 0.532
S 0.641 0.393 0.134
S 0.279 0.674 0.708
S 0.315 0.064 0.468
S 0.096 0.686 0.032
S 0.609 0.009 0.366
S 0.494 0.741 0.134
S 0.607 0.506 0.866
S 0.822 0.076 0.792
S 0.924 0.029 0.208
S 0.991 0.244 0.634
Sm 0.324 0.718 0.921
Sm 0.916 0.416 0.832
Sm 0.654 0.032 0.579
Sm 0.666 0.666 0.332
Sm 0.596 0.203 0.921
Sm 0.006 0.375 0.250
Sm 0.797 0.676 0.079
Sm 0.584 0.084 0.168
Sm 0.282 0.404 0.079
Sm 0.453 0.346 0.421
Sm 0.334 0.334 0.668
Sm 0.125 0.994 0.750
Sm 0.968 0.074 0.421
Sm 0.926 0.547 0.579
Sm 0.244 0.875 0.250
Sm 0.625 0.756 0.750

Values from the calculation:
Total DFT energy (no corrections) (eV per atom): -25.90
Symmetry: No. 122
Fermi-level density of states (states/eV/cell): 0.00

3.
Below is Sm2S3 at its PBEsol-relaxed geometry, with properties calculated at the meta-GGA SCAN level.

Unit cell a=3.946 b=7.308 c=15.247 alpha=90.00 beta=90.00 gamma=90.00
Fractional positions:
S 0.750 0.854 0.219
S 0.250 0.007 0.390
S 0.750 0.493 0.890
S 0.250 0.646 0.719
S 0.250 0.875 0.933
S 0.750 0.354 0.281
S 0.250 0.507 0.110
S 0.750 0.625 0.433
S 0.750 0.993 0.610
S 0.250 0.375 0.567
S 0.750 0.125 0.067
S 0.250 0.146 0.781
Sm 0.250 0.142 0.204
Sm 0.750 0.358 0.704
Sm 0.750 0.735 0.044
Sm 0.250 0.642 0.296
Sm 0.750 0.858 0.796
Sm 0.250 0.765 0.544
Sm 0.750 0.235 0.456
Sm 0.250 0.265 0.956

Values from the calculation:
Total DFT energy (no corrections) (eV per atom): -25.93
Symmetry: No. 62

4.
Below is SrSm2S4 at its PBEsol-relaxed geometry, with properties calculated at the meta-GGA SCAN level.

Unit cell a=7.346 b=7.346 c=7.346 alpha=109.43 beta=109.43 gamma=109.56
Fractional positions:
S 0.229 0.481 0.593
S 0.887 0.636 0.407
S 0.731 0.979 0.093
S 0.363 0.269 0.248
S 0.519 0.113 0.748
S 0.886 0.637 0.907
S 0.364 0.771 0.252
S 0.021 0.114 0.752
Sm 0.125 0.002 0.377
Sm 0.998 0.375 0.123
Sm 0.252 0.875 0.877
Sm 0.625 0.748 0.623
Sr 0.750 0.250 0.500
Sr 0.500 0.500 0.000

Values from the calculation:
Total DFT energy (no corrections) (eV per atom): -23.76
Symmetry: No. 122
Fermi-level density of states (states/eV/cell): 0.00

5.
Below is Tb2SmS4 at its PBEsol-relaxed geometry, with properties calculated at the meta-GGA SCAN level.

Unit cell a=7.164 b=7.164 c=7.164 alpha=108.54 beta=108.54 gamma=111.36
Fractional positions:
S 0.228 0.485 0.603
S 0.368 0.265 0.244
S 0.882 0.626 0.397
S 0.515 0.118 0.744
S 0.022 0.124 0.756
S 0.876 0.632 0.897
S 0.374 0.772 0.256
S 0.735 0.978 0.103
Tb 0.125 0.021 0.396
Tb 0.625 0.729 0.604
Tb 0.271 0.875 0.896
Tb 0.979 0.375 0.104
Sm 0.500 0.500 0.000
Sm 0.750 0.250 0.500

Values from the calculation:
Total DFT energy (no corrections) (eV per atom): -27.49
Symmetry: No. 122
Fermi-level density of states (states/eV/cell): 5.86

6.
Below is Sm3TmS4 at its PBEsol-relaxed geometry, with properties calculated at the meta-GGA SCAN level.

Unit cell a=3.891 b=5.543 c=7.862 alpha=90.00 beta=90.00 gamma=90.00
Fractional positions:
Tm 0.000 0.000 0.000
Sm 0.000 0.000 0.500
Sm 0.500 0.500 0.253
Sm 0.500 0.500 0.747
S 0.500 0.000 0.239
S 0.000 0.500 0.500
S 0.500 0.000 0.761
S 0.000 0.500 0.000

Values from the calculation:
Total DFT energy (no corrections) (eV per atom): -30.20
Symmetry: No. 47
Fermi-level density of states (states/eV/cell): 3.44

7.
Below is Sm2TmS4 at its PBEsol-relaxed geometry, with properties calculated at the meta-GGA SCAN level.

Unit cell a=7.150 b=7.150 c=7.150 alpha=108.44 beta=109.99 gamma=109.99
Fractional positions:
S 0.608 0.135 0.380
S 0.745 0.615 0.723
S 0.245 0.473 0.865
S 0.392 0.772 0.527
S 0.892 0.277 0.022
S 0.108 0.130 0.385
S 0.255 0.978 0.870
S 0.755 0.620 0.228
Tm 0.000 0.500 0.500
Tm 0.500 0.250 0.750
Sm 0.634 0.875 0.009
Sm 0.134 0.759 0.125
Sm 0.866 0.991 0.625
Sm 0.366 0.375 0.241

Values from the calculation:
Total DFT energy (no corrections) (eV per atom): -27.86
Symmetry: No. 122
Fermi-level density of states (states/eV/cell): 7.18

8.
Below is Sm4Tm11S22 at its PBEsol-relaxed geometry, with properties calculated at the meta-GGA SCAN level.

Unit cell a=3.846 b=11.122 c=19.210 alpha=91.60 beta=95.74 gamma=90.00
Fractional positions:
Tm 0.202 0.941 0.404
Tm 0.929 0.642 0.859
Tm 0.342 0.699 0.684
Tm 0.735 0.647 0.470
Tm 0.265 0.353 0.530
Tm 0.071 0.358 0.141
Tm 0.461 0.269 0.923
Tm 0.658 0.301 0.316
Tm 0.539 0.731 0.077
Tm 0.000 0.000 0.000
Tm 0.798 0.059 0.596
S 0.351 0.095 0.702
S 0.649 0.905 0.298
S 0.746 0.879 0.491
S 0.280 0.592 0.559
S 0.008 0.240 0.017
S 0.136 0.454 0.272
S 0.548 0.971 0.095
S 0.831 0.851 0.663
S 0.720 0.408 0.441
S 0.864 0.546 0.728
S 0.912 0.244 0.824
S 0.452 0.029 0.905
S 0.169 0.149 0.337
S 0.187 0.691 0.375
S 0.442 0.490 0.883
S 0.813 0.309 0.625
S 0.992 0.760 0.983
S 0.088 0.756 0.176
S 0.558 0.510 0.117
S 0.407 0.791 0.814
S 0.593 0.209 0.186
S 0.254 0.121 0.509
Sm 0.632 0.649 0.263
Sm 0.105 0.012 0.210
Sm 0.895 0.988 0.790
Sm 0.368 0.351 0.737

Values from the calculation:
Total DFT energy (no corrections) (eV per atom): -28.32
Symmetry: No. 12
Fermi-level density of states (states/eV/cell): 2.39

9.
Below is SmTmS2 at its PBEsol-relaxed geometry, with properties calculated at the meta-GGA SCAN level.

Unit cell a=3.836 b=3.836 c=6.812 alpha=73.65 beta=73.65 gamma=60.00
Fractional positions:
Sm 0.000 0.000 0.000
S 0.755 0.755 0.734
S 0.245 0.245 0.266
Tm 0.500 0.500 0.500

Values from the calculation:
Total DFT energy (no corrections) (eV per atom): -31.12
Symmetry: No. 166
Fermi-level density of states (states/eV/cell): 1.53

10.
Below is SmYS2 at its PBEsol-relaxed geometry, with properties calculated at the meta-GGA SCAN level.

Unit cell a=3.883 b=3.883 c=6.831 alpha=73.49 beta=73.49 gamma=60.00
Fractional positions:
S 0.753 0.753 0.741
S 0.247 0.247 0.259
Y 0.500 0.500 0.500
Sm 0.000 0.000 0.000

Values from the calculation:
Total DFT energy (no corrections) (eV per atom): -25.16
Symmetry: No. 166
Fermi-level density of states (states/eV/cell): 1.59

11.
Below is Sm3YS4 at its PBEsol-relaxed geometry, with properties calculated at the meta-GGA SCAN level.

Unit cell a=3.918 b=6.813 c=6.816 alpha=99.72 beta=106.70 gamma=90.00
Fractional positions:
Sm 0.752 0.253 0.505
Sm 0.500 0.500 0.000
Sm 0.248 0.747 0.495
Y 0.000 0.000 0.000
S 0.876 0.632 0.753
S 0.378 0.120 0.756
S 0.622 0.880 0.244
S 0.124 0.368 0.247

Values from the calculation:
Total DFT energy (no corrections) (eV per atom): -27.24
Symmetry: No. 12
Fermi-level density of states (states/eV/cell): 3.40

12.
Below is Sm2ZrS5 at its PBEsol-relaxed geometry, with properties calculated at the meta-GGA SCAN level.

Unit cell a=7.229 b=7.826 c=11.413 alpha=90.00 beta=90.00 gamma=90.00
Fractional positions:
S 0.162 0.250 0.315
S 0.318 0.750 0.791
S 0.818 0.250 0.709
S 0.666 0.961 0.912
S 0.552 0.250 0.496
S 0.338 0.250 0.815
S 0.334 0.461 0.088
S 0.448 0.750 0.504
S 0.834 0.961 0.412
S 0.682 0.250 0.209
S 0.182 0.750 0.291
S 0.948 0.250 0.996
S 0.834 0.539 0.412
S 0.166 0.039 0.588
S 0.052 0.750 0.004
S 0.662 0.750 0.185
S 0.666 0.539 0.912
S 0.166 0.461 0.588
S 0.838 0.750 0.685
S 0.334 0.039 0.088
Zr 0.922 0.250 0.491
Zr 0.422 0.750 0.009
Zr 0.578 0.250 0.991
Zr 0.078 0.750 0.509
Sm 0.033 0.998 0.823
Sm 0.967 0.002 0.177
Sm 0.967 0.498 0.177
Sm 0.533 0.002 0.677
Sm 0.533 0.498 0.677
Sm 0.467 0.502 0.323
Sm 0.033 0.502 0.823
Sm 0.467 0.998 0.323

Values from the calculation:
Total DFT energy (no corrections) (eV per atom): -23.15
Symmetry: No. 62

13.
Below is SrSnS2 at its PBEsol-relaxed geometry, with properties calculated at the meta-GGA SCAN level.

Unit cell a=6.241 b=6.241 c=8.230 alpha=112.28 beta=112.28 gamma=90.00
Fractional positions:
Sr 0.500 0.500 0.000
Sr 0.750 0.250 0.500
S 0.890 0.375 0.250
S 0.360 0.875 0.250
S 0.625 0.640 0.750
S 0.125 0.110 0.750
Sn 0.250 0.750 0.500
Sn 0.000 0.000 0.000

Values from the calculation:
Total DFT energy (no corrections) (eV per atom): -20.45
Symmetry: No. 122

14.
Below is Sr3Sn2S7 at its PBEsol-relaxed geometry, with properties calculated at the meta-GGA SCAN level.

Unit cell a=3.969 b=11.355 c=12.638 alpha=90.00 beta=90.00 gamma=90.00
Fractional positions:
Sr 0.500 0.384 0.651
Sr 0.500 0.000 0.500
Sr 0.500 0.616 0.349
Sr 0.500 0.500 0.000
Sr 0.500 0.116 0.151
Sr 0.500 0.884 0.849
S 0.000 0.702 0.930
S 0.000 0.581 0.176
S 0.500 0.853 0.207
S 0.000 0.000 0.000
S 0.500 0.147 0.793
S 0.500 0.353 0.293
S 0.500 0.647 0.707
S 0.000 0.919 0.676
S 0.000 0.298 0.070
S 0.000 0.202 0.570
S 0.000 0.798 0.430
S 0.000 0.081 0.324
S 0.000 0.419 0.824
S 0.000 0.500 0.500
Sn 0.000 0.716 0.606
Sn 0.000 0.284 0.394
Sn 0.000 0.216 0.894
Sn 0.000 0.784 0.106

Values from the calculation:
Total DFT energy (no corrections) (eV per atom): -18.61
Symmetry: No. 55

15.
Below is TaSn3S at its PBEsol-relaxed geometry, with properties calculated at the meta-GGA SCAN level.

Unit cell a=5.302 b=5.302 c=5.302 alpha=90.00 beta=90.00 gamma=90.00
Fractional positions:
S 0.500 0.500 0.500
Sn 0.000 0.500 0.000
Sn 0.000 0.000 0.500
Sn 0.500 0.000 0.000
Ta 0.000 0.000 0.000

Values from the calculation:
Total DFT energy (no corrections) (eV per atom): -36.13
Symmetry: No. 221
Fermi-level density of states (states/eV/cell): 3.39

16.
Below is Tb2SnS5 at its PBEsol-relaxed geometry, with properties calculated at the meta-GGA SCAN level.

Unit cell a=3.773 b=7.617 c=11.258 alpha=90.00 beta=90.00 gamma=90.00
Fractional positions:
S 0.000 0.500 0.000
S 0.500 0.328 0.402
S 0.500 0.672 0.598
S 0.500 0.828 0.098
S 0.000 0.322 0.696
S 0.000 0.000 0.500
S 0.000 0.678 0.304
S 0.000 0.178 0.196
S 0.000 0.822 0.804
S 0.500 0.172 0.902
Sn 0.000 0.500 0.500
Sn 0.000 0.000 0.000
Tb 0.500 0.970 0.328
Tb 0.500 0.470 0.172
Tb 0.500 0.530 0.828
Tb 0.500 0.030 0.672

Values from the calculation:
Total DFT energy (no corrections) (eV per atom): -23.82
Symmetry: No. 55

17.
Below is TcSnS2 at its PBEsol-relaxed geometry, with properties calculated at the meta-GGA SCAN level.

Unit cell a=4.470 b=4.470 c=4.470 alpha=60.00 beta=60.00 gamma=60.00
Fractional positions:
Tc 0.000 0.000 0.000
Sn 0.500 0.500 0.500
S 0.750 0.750 0.750
S 0.250 0.250 0.250

Values from the calculation:
Offset from the most stable computed form (meV/atom): 721
Symmetry: No. 225
Fermi-level density of states (states/eV/cell): 2.67

18.
Below is TcSnS2 at its PBEsol-relaxed geometry, with properties calculated at the meta-GGA SCAN level.

Unit cell a=3.228 b=3.228 c=8.772 alpha=79.40 beta=79.40 gamma=60.00
Fractional positions:
Sn 0.000 0.000 0.000
S 0.109 0.109 0.674
S 0.891 0.891 0.326
Tc 0.500 0.500 0.500

Values from the calculation:
Offset from the most stable computed form (meV/atom): 0
Symmetry: No. 166
Fermi-level density of states (states/eV/cell): 2.49

19.
Below is SnTeS3 at its PBEsol-relaxed geometry, with properties calculated at the meta-GGA SCAN level.

Unit cell a=4.886 b=4.886 c=4.886 alpha=90.00 beta=90.00 gamma=90.00
Fractional positions:
S 0.000 0.500 0.000
S 0.500 0.000 0.000
S 0.000 0.000 0.500
Te 0.500 0.500 0.500
Sn 0.000 0.000 0.000

Values from the calculation:
Total DFT energy (no corrections) (eV per atom): -19.93
Symmetry: No. 221
Fermi-level density of states (states/eV/cell): 2.85

| no. | magnetization (μB/f.u.) |
| --- | --- |
| 1 | 0.00 |
| 2 | 0.00 |
| 3 | 0.00 |
| 4 | 0.00 |
| 5 | 0.00 |
| 6 | 0.00 |
| 7 | 0.00 |
| 8 | 0.00 |
| 9 | 0.00 |
| 10 | 0.00 |
| 11 | 0.00 |
| 12 | 0.00 |
| 13 | 0.00 |
| 14 | 0.00 |
| 15 | 1.95 |
| 16 | 0.00 |
| 17 | 0.00 |
| 18 | 2.00 |
| 19 | 0.00 |